[1]
First-principles (PBE) data for PW3C2 after structural relaxation, as listed in OQMD.

Output
Uncorrected energy (Ha/atom): -0.379

Geometry as CIF:
```
data_PW3C2
_chemical_formula_sum 'P2 W6 C4'
_space_group_name_H-M_alt 'P 1'
_space_group_IT_number 1
_space_group_name_Hall 'P 1'
_cell_length_a 3.1262
_cell_length_b 3.1262
_cell_length_c 16.9389
_cell_angle_alpha 90.00
_cell_angle_beta 90.00
_cell_angle_gamma 120.00
loop_
_atom_site_label
_atom_site_type_symbol
_atom_site_fract_x
_atom_site_fract_y
_atom_site_fract_z
_atom_site_occupancy
W1 W 0.3333 0.6667 0.6442 1
W2 W 0.6667 0.3333 0.3558 1
W3 W 0.3333 0.6667 0.8558 1
W4 W 0.6667 0.3333 0.1442 1
W5 W 0.0000 0.0000 0.5000 1
W6 W 0.0000 0.0000 0.0000 1
P1 P 0.0000 0.0000 0.2500 1
P2 P 0.0000 0.0000 0.7500 1
C1 C 0.6667 0.3333 0.5748 1
C2 C 0.6667 0.3333 0.9252 1
C3 C 0.3333 0.6667 0.0748 1
C4 C 0.3333 0.6667 0.4252 1
```

[2]
First-principles (PBE) data for PW2C after structural relaxation, as listed in OQMD.

Output
Uncorrected energy (Ha/atom): -0.370

Geometry as CIF:
```
data_PW2C
_chemical_formula_sum 'P6 W12 C6'
_space_group_name_H-M_alt 'P 1'
_space_group_IT_number 1
_space_group_name_Hall 'P 1'
_cell_length_a 5.3684
_cell_length_b 5.3684
_cell_length_c 12.4924
_cell_angle_alpha 102.47
_cell_angle_beta 102.47
_cell_angle_gamma 59.86
loop_
_atom_site_label
_atom_site_type_symbol
_atom_site_fract_x
_atom_site_fract_y
_atom_site_fract_z
_atom_site_occupancy
W1 W 0.1314 0.3050 0.3994 1
W2 W 0.6328 0.4609 0.8878 1
W3 W 0.6950 0.8686 0.1006 1
W4 W 0.2036 0.0292 0.5996 1
W5 W 0.9708 0.7964 0.9004 1
W6 W 0.7964 0.9708 0.4004 1
W7 W 0.3672 0.5391 0.1122 1
W8 W 0.0292 0.2036 0.0996 1
W9 W 0.4609 0.6328 0.3878 1
W10 W 0.3050 0.1314 0.8994 1
W11 W 0.5391 0.3672 0.6122 1
W12 W 0.8686 0.6950 0.6006 1
P1 P 0.5850 0.7602 0.7496 1
P2 P 0.2398 0.4150 0.7504 1
P3 P 0.0686 0.9314 0.2500 1
P4 P 0.9314 0.0686 0.7500 1
P5 P 0.7602 0.5850 0.2496 1
P6 P 0.4150 0.2398 0.2504 1
C1 C 0.6621 0.1767 0.0000 1
C2 C 0.0000 0.5000 0.0000 1
C3 C 0.5000 0.0000 0.5000 1
C4 C 0.8233 0.3379 0.5000 1
C5 C 0.1767 0.6621 0.5000 1
C6 C 0.3379 0.8233 0.0000 1
```

[3]
First-principles (PBE) data for Y2P3W4C3 after structural relaxation, as listed in OQMD.

Output
Uncorrected energy (Ha/atom): -0.344

Geometry as CIF:
```
data_Y2P3W4C3
_chemical_formula_sum 'Y4 P6 W8 C6'
_space_group_name_H-M_alt 'P 1'
_space_group_IT_number 1
_space_group_name_Hall 'P 1'
_cell_length_a 5.7438
_cell_length_b 5.7438
_cell_length_c 12.4315
_cell_angle_alpha 102.45
_cell_angle_beta 102.45
_cell_angle_gamma 60.55
loop_
_atom_site_label
_atom_site_type_symbol
_atom_site_fract_x
_atom_site_fract_y
_atom_site_fract_z
_atom_site_occupancy
W1 W 0.7021 0.8461 0.5870 1
W2 W 0.7977 0.9868 0.9123 1
W3 W 0.2023 0.0132 0.0877 1
W4 W 0.9868 0.7977 0.4123 1
W5 W 0.0132 0.2023 0.5877 1
W6 W 0.1539 0.2979 0.9130 1
W7 W 0.2979 0.1539 0.4130 1
W8 W 0.8461 0.7021 0.0870 1
Y1 Y 0.4643 0.6235 0.8842 1
Y2 Y 0.5357 0.3765 0.1158 1
Y3 Y 0.6235 0.4643 0.3842 1
Y4 Y 0.3765 0.5357 0.6158 1
P1 P 0.1980 0.4267 0.2539 1
P2 P 0.8020 0.5733 0.7461 1
P3 P 0.5733 0.8020 0.2461 1
P4 P 0.0405 0.9595 0.7500 1
P5 P 0.9595 0.0405 0.2500 1
P6 P 0.4267 0.1980 0.7539 1
C1 C 0.6731 0.1489 0.4988 1
C2 C 0.0000 0.5000 0.5000 1
C3 C 0.5000 0.0000 0.0000 1
C4 C 0.3269 0.8511 0.5012 1
C5 C 0.1489 0.6731 0.9988 1
C6 C 0.8511 0.3269 0.0012 1
```

[4]
First-principles (PBE) data for Y4P3W2C3 after structural relaxation, as listed in OQMD.

Output
Uncorrected energy (Ha/atom): -0.315

Geometry as CIF:
```
data_Y4P3W2C3
_chemical_formula_sum 'Y8 P6 W4 C6'
_space_group_name_H-M_alt 'P 1'
_space_group_IT_number 1
_space_group_name_Hall 'P 1'
_cell_length_a 6.0061
_cell_length_b 6.0061
_cell_length_c 13.0583
_cell_angle_alpha 103.40
_cell_angle_beta 103.40
_cell_angle_gamma 60.05
loop_
_atom_site_label
_atom_site_type_symbol
_atom_site_fract_x
_atom_site_fract_y
_atom_site_fract_z
_atom_site_occupancy
P1 P 0.3180 0.4068 0.2502 1
P2 P 0.8440 0.1560 0.2500 1
P3 P 0.1560 0.8440 0.7500 1
P4 P 0.5932 0.6820 0.2498 1
P5 P 0.4068 0.3180 0.7502 1
P6 P 0.6820 0.5932 0.7498 1
Y1 Y 0.7032 0.8856 0.6120 1
Y2 Y 0.0448 0.1941 0.6119 1
Y3 Y 0.9552 0.8059 0.3881 1
Y4 Y 0.1144 0.2968 0.8880 1
Y5 Y 0.1941 0.0448 0.1119 1
Y6 Y 0.8856 0.7032 0.1120 1
Y7 Y 0.8059 0.9552 0.8881 1
Y8 Y 0.2968 0.1144 0.3880 1
W1 W 0.4754 0.6529 0.9191 1
W2 W 0.6529 0.4754 0.4191 1
W3 W 0.5246 0.3471 0.0809 1
W4 W 0.3471 0.5246 0.5809 1
C1 C 0.0000 0.5000 0.5000 1
C2 C 0.6462 0.2048 0.4990 1
C3 C 0.5000 0.0000 0.0000 1
C4 C 0.2048 0.6462 0.9990 1
C5 C 0.7952 0.3538 0.0010 1
C6 C 0.3538 0.7952 0.5010 1
```

[5]
First-principles (PBE) data for ZnPW4C2 after structural relaxation, as listed in OQMD.

Output
Uncorrected energy (Ha/atom): -0.350

Geometry as CIF:
```
data_ZnPW4C2
_chemical_formula_sum 'Zn1 P1 W4 C2'
_space_group_name_H-M_alt 'P 1'
_space_group_IT_number 1
_space_group_name_Hall 'P 1'
_cell_length_a 3.0835
_cell_length_b 3.0835
_cell_length_c 12.7545
_cell_angle_alpha 90.00
_cell_angle_beta 90.00
_cell_angle_gamma 120.00
loop_
_atom_site_label
_atom_site_type_symbol
_atom_site_fract_x
_atom_site_fract_y
_atom_site_fract_z
_atom_site_occupancy
W1 W 0.6667 0.3333 0.8603 1
W2 W 0.6667 0.3333 0.1397 1
W3 W 0.0000 0.0000 0.6731 1
W4 W 0.0000 0.0000 0.3269 1
C1 C 0.3333 0.6667 0.7617 1
C2 C 0.3333 0.6667 0.2383 1
P1 P 0.0000 0.0000 0.0000 1
Zn1 Zn 0.6667 0.3333 0.5000 1
```

[6]
First-principles (PBE) data for Zr4P3W2C3 after structural relaxation, as listed in OQMD.

Output
Uncorrected energy (Ha/atom): -0.348

Geometry as CIF:
```
data_Zr4P3W2C3
_chemical_formula_sum 'Zr8 P6 W4 C6'
_space_group_name_H-M_alt 'P 1'
_space_group_IT_number 1
_space_group_name_Hall 'P 1'
_cell_length_a 5.7919
_cell_length_b 5.7919
_cell_length_c 12.4630
_cell_angle_alpha 76.75
_cell_angle_beta 76.75
_cell_angle_gamma 60.10
loop_
_atom_site_label
_atom_site_type_symbol
_atom_site_fract_x
_atom_site_fract_y
_atom_site_fract_z
_atom_site_occupancy
C1 C 0.3373 0.8252 0.0000 1
C2 C 0.8252 0.3374 0.4999 1
C3 C 0.1748 0.6626 0.5001 1
C4 C 0.6627 0.1748 0.0000 1
C5 C 0.0000 0.5000 0.0000 1
C6 C 0.5000 0.0000 0.5000 1
W1 W 0.3523 0.5276 0.9126 1
W2 W 0.6477 0.4724 0.0874 1
W3 W 0.4724 0.6477 0.5874 1
W4 W 0.5276 0.3523 0.4126 1
P1 P 0.2829 0.4156 0.2506 1
P2 P 0.7171 0.5844 0.7494 1
P3 P 0.8802 0.1198 0.2500 1
P4 P 0.1198 0.8802 0.7500 1
P5 P 0.4156 0.2829 0.7506 1
P6 P 0.5844 0.7171 0.2494 1
Zr1 Zr 0.8744 0.7024 0.3928 1
Zr2 Zr 0.2976 0.1256 0.1072 1
Zr3 Zr 0.1256 0.2976 0.6072 1
Zr4 Zr 0.8024 0.9593 0.6071 1
Zr5 Zr 0.9593 0.8024 0.1071 1
Zr6 Zr 0.1976 0.0407 0.3929 1
Zr7 Zr 0.0407 0.1976 0.8929 1
Zr8 Zr 0.7024 0.8744 0.8928 1
```

[7]
First-principles (PBE) data for Zr2P3W4C3 after structural relaxation, as listed in OQMD.

Output
Uncorrected energy (Ha/atom): -0.361

Geometry as CIF:
```
data_Zr2P3W4C3
_chemical_formula_sum 'Zr4 P6 W8 C6'
_space_group_name_H-M_alt 'P 1'
_space_group_IT_number 1
_space_group_name_Hall 'P 1'
_cell_length_a 5.6861
_cell_length_b 5.6861
_cell_length_c 12.1372
_cell_angle_alpha 103.49
_cell_angle_beta 103.49
_cell_angle_gamma 60.22
loop_
_atom_site_label
_atom_site_type_symbol
_atom_site_fract_x
_atom_site_fract_y
_atom_site_fract_z
_atom_site_occupancy
C1 C 0.6679 0.1644 0.4999 1
C2 C 0.0000 0.5000 0.5000 1
C3 C 0.1644 0.6679 0.9999 1
C4 C 0.3321 0.8356 0.5001 1
C5 C 0.5000 0.0000 0.0000 1
C6 C 0.8356 0.3321 0.0001 1
P1 P 0.7800 0.5824 0.7497 1
P2 P 0.4176 0.2200 0.7503 1
P3 P 0.5824 0.7800 0.2497 1
P4 P 0.0550 0.9450 0.7500 1
P5 P 0.9450 0.0550 0.2500 1
P6 P 0.2200 0.4176 0.2503 1
Zr1 Zr 0.5358 0.3707 0.1089 1
Zr2 Zr 0.4642 0.6293 0.8911 1
Zr3 Zr 0.6293 0.4642 0.3911 1
Zr4 Zr 0.3707 0.5358 0.6089 1
W1 W 0.8635 0.6991 0.0906 1
W2 W 0.1970 0.0319 0.0911 1
W3 W 0.3009 0.1365 0.4094 1
W4 W 0.8030 0.9681 0.9089 1
W5 W 0.9681 0.8030 0.4089 1
W6 W 0.1365 0.3009 0.9094 1
W7 W 0.6991 0.8635 0.5906 1
W8 W 0.0319 0.1970 0.5911 1
```

[8]
First-principles (PBE) data for Y4Zr2P3C3 after structural relaxation, as listed in OQMD.

Output
Uncorrected energy (Ha/atom): -0.297

Geometry as CIF:
```
data_Y4Zr2P3C3
_chemical_formula_sum 'Y8 Zr4 P6 C6'
_space_group_name_H-M_alt 'P 1'
_space_group_IT_number 1
_space_group_name_Hall 'P 1'
_cell_length_a 6.2758
_cell_length_b 6.2758
_cell_length_c 13.3593
_cell_angle_alpha 103.68
_cell_angle_beta 103.68
_cell_angle_gamma 60.18
loop_
_atom_site_label
_atom_site_type_symbol
_atom_site_fract_x
_atom_site_fract_y
_atom_site_fract_z
_atom_site_occupancy
P1 P 0.2718 0.4170 0.2500 1
P2 P 0.8944 0.1056 0.2500 1
P3 P 0.7282 0.5830 0.7500 1
P4 P 0.5830 0.7282 0.2500 1
P5 P 0.4170 0.2718 0.7500 1
P6 P 0.1056 0.8944 0.7500 1
Zr1 Zr 0.6336 0.4676 0.4025 1
Zr2 Zr 0.5324 0.3664 0.0975 1
Zr3 Zr 0.4676 0.6336 0.9025 1
Zr4 Zr 0.3664 0.5324 0.5975 1
Y1 Y 0.7034 0.8707 0.6092 1
Y2 Y 0.1293 0.2966 0.8908 1
Y3 Y 0.2027 0.0377 0.1091 1
Y4 Y 0.0377 0.2027 0.6091 1
Y5 Y 0.2966 0.1293 0.3908 1
Y6 Y 0.8707 0.7034 0.1092 1
Y7 Y 0.7973 0.9623 0.8909 1
Y8 Y 0.9623 0.7973 0.3909 1
C1 C 0.5000 0.0000 0.0000 1
C2 C 0.1990 0.6502 0.0000 1
C3 C 0.3498 0.8010 0.5000 1
C4 C 0.0000 0.5000 0.5000 1
C5 C 0.6502 0.1990 0.5000 1
C6 C 0.8010 0.3498 0.0000 1
```

[9]
First-principles (PBE) data for Y2Zr4P3C3 after structural relaxation, as listed in OQMD.

Output
Uncorrected energy (Ha/atom): -0.314

Geometry as CIF:
```
data_Y2Zr4P3C3
_chemical_formula_sum 'Y4 Zr8 P6 C6'
_space_group_name_H-M_alt 'P 1'
_space_group_IT_number 1
_space_group_name_Hall 'P 1'
_cell_length_a 6.1497
_cell_length_b 6.1497
_cell_length_c 12.9506
_cell_angle_alpha 103.69
_cell_angle_beta 103.69
_cell_angle_gamma 60.08
loop_
_atom_site_label
_atom_site_type_symbol
_atom_site_fract_x
_atom_site_fract_y
_atom_site_fract_z
_atom_site_occupancy
C1 C 0.5000 0.0000 0.0000 1
C2 C 0.6789 0.1419 0.5001 1
C3 C 0.3211 0.8581 0.4998 1
C4 C 0.0000 0.5000 0.5000 1
C5 C 0.1419 0.6789 0.0001 1
C6 C 0.8581 0.3211 0.9998 1
Zr1 Zr 0.2973 0.1340 0.3966 1
Zr2 Zr 0.7027 0.8660 0.6034 1
Zr3 Zr 0.2024 0.0337 0.1034 1
Zr4 Zr 0.0337 0.2024 0.6034 1
Zr5 Zr 0.1340 0.2973 0.8966 1
Zr6 Zr 0.8660 0.7027 0.1034 1
Zr7 Zr 0.7976 0.9663 0.8966 1
Zr8 Zr 0.9663 0.7976 0.3966 1
Y1 Y 0.6266 0.4631 0.3897 1
Y2 Y 0.4631 0.6266 0.8897 1
Y3 Y 0.3734 0.5369 0.6103 1
Y4 Y 0.5369 0.3734 0.1103 1
P1 P 0.0665 0.9335 0.7500 1
P2 P 0.5830 0.7699 0.2509 1
P3 P 0.4170 0.2301 0.7491 1
P4 P 0.9335 0.0665 0.2500 1
P5 P 0.7699 0.5830 0.7509 1
P6 P 0.2301 0.4170 0.2491 1
```

[10]
First-principles (PBE) data for Zr4ZnPC2 after structural relaxation, as listed in OQMD.

Output
Uncorrected energy (Ha/atom): -0.301

Geometry as CIF:
```
data_Zr4ZnPC2
_chemical_formula_sum 'Zr4 Zn1 P1 C2'
_space_group_name_H-M_alt 'P 1'
_space_group_IT_number 1
_space_group_name_Hall 'P 1'
_cell_length_a 3.3976
_cell_length_b 3.3976
_cell_length_c 13.2415
_cell_angle_alpha 90.00
_cell_angle_beta 90.00
_cell_angle_gamma 120.00
loop_
_atom_site_label
_atom_site_type_symbol
_atom_site_fract_x
_atom_site_fract_y
_atom_site_fract_z
_atom_site_occupancy
C1 C 0.3333 0.6667 0.7364 1
C2 C 0.3333 0.6667 0.2636 1
Zr1 Zr 0.0000 0.0000 0.3632 1
Zr2 Zr 0.0000 0.0000 0.6368 1
Zr3 Zr 0.6667 0.3333 0.8301 1
Zr4 Zr 0.6667 0.3333 0.1699 1
P1 P 0.6667 0.3333 0.5000 1
Zn1 Zn 0.0000 0.0000 0.0000 1
```